No. 1
VASP calculation (GGA-PBE) on an optimized crystal structure of InCuOs2.

Unit cell a=6.251 b=6.251 c=6.251 alpha=90.00 beta=90.00 gamma=90.00
Space group F-43m (No. 216)
Unique sites:
In  0.000  0.000  0.000
Cu  0.250  0.250  0.250
Os  0.000  0.000  0.500
Os  0.250  0.250  0.750

- Spin magnetization: 0.00 μB/atom
- Crystal system: cubic
- Final energy: -6.675 eV per atom

---

No. 2
VASP calculation (GGA-PBE) on an optimized crystal structure of NdPaBe.

Unit cell a=6.639 b=6.639 c=6.639 alpha=90.00 beta=90.00 gamma=90.00
Space group F-43m (No. 216)
Unique sites:
Nd  0.000  0.000  0.000
Pa  0.000  0.000  0.500
Be  0.250  0.250  0.250

- Spin magnetization: 0.00 μB/atom
- Energy above the lowest structure with this stoichiometry: 0 kJ/mol of formula units
- Crystal system: cubic

---

No. 3
VASP calculation (GGA-PBE) on an optimized crystal structure of Sc2Zn2InGa.

Unit cell a=10.840 b=4.425 c=10.840 alpha=90.00 beta=109.46 gamma=90.00
Space group Pm (No. 6)
Unique sites:
Sc  0.000  0.000  0.000
Sc  0.119  0.500  0.372
Sc  0.242  0.000  0.744
Sc  0.375  0.500  0.119
Sc  0.506  0.000  0.494
Sc  0.632  0.500  0.878
Sc  0.753  0.000  0.250
Sc  0.875  0.500  0.619
Zn  0.119  0.500  0.621
Zn  0.244  0.000  0.991
Zn  0.379  0.500  0.371
Zn  0.499  0.000  0.747
Zn  0.631  0.500  0.129
Zn  0.753  0.000  0.493
Zn  0.883  0.500  0.876
Zn  0.996  0.000  0.248
In  0.250  0.000  0.247
In  0.374  0.500  0.621
In  0.501  0.000  0.998
In  0.752  0.000  0.747
Ga  0.124  0.500  0.871
Ga  0.627  0.500  0.372
Ga  0.876  0.500  0.123
Ga  0.999  0.000  0.496

- Spin magnetization: 0.00 μB/atom
- Crystal system: monoclinic
- Final energy: -3.824 eV per atom

---

No. 4
VASP calculation (GGA-PBE) on an optimized crystal structure of HfCoGe2.

Unit cell a=6.362 b=6.362 c=6.362 alpha=90.00 beta=90.00 gamma=90.00
Space group F-43m (No. 216)
Unique sites:
Hf  0.000  0.000  0.000
Co  0.250  0.250  0.750
Ge  0.000  0.000  0.500
Ge  0.250  0.250  0.250

- Spin magnetization: 0.25 μB/atom
- Crystal system: cubic
- Final energy: -6.579 eV per atom

---

No. 5
VASP calculation (GGA-PBE) on an optimized crystal structure of NaLiZrTe3.

Unit cell a=8.243 b=4.162 c=10.422 alpha=90.00 beta=106.36 gamma=90.00
Space group P2_1/m (No. 11)
Unique sites:
Na  0.241  0.250  0.198
Li  0.422  0.250  0.906
Zr  0.187  0.750  0.669
Te  0.077  0.750  0.368
Te  0.232  0.750  0.951
Te  0.425  0.250  0.648

- Spin magnetization: 0.00 μB/atom
- Energy above the lowest structure with this stoichiometry: 0 kJ/mol of formula units
- Crystal system: monoclinic

---

No. 6
VASP calculation (GGA-PBE) on an optimized crystal structure of Li2CuGe.

Unit cell a=4.189 b=4.189 c=5.913 alpha=90.00 beta=90.00 gamma=90.00
Space group I-4m2 (No. 119)
Unique sites:
Li  0.000  0.000  0.000
Li  0.000  0.500  0.250
Cu  0.000  0.500  0.750
Ge  0.000  0.000  0.500

- Crystal system: tetragonal
- Final energy: -3.359 eV per atom

---

No. 7
VASP calculation (GGA-PBE) on an optimized crystal structure of HoErGe.

Unit cell a=6.845 b=6.845 c=6.845 alpha=90.00 beta=90.00 gamma=90.00
Space group F-43m (No. 216)
Unique sites:
Ho  0.000  0.000  0.000
Er  0.000  0.000  0.500
Ge  0.250  0.250  0.750

- Spin magnetization: 0.00 μB/atom
- Crystal system: cubic
- Final energy: -5.112 eV per atom

---

No. 8
VASP calculation (GGA-PBE) on an optimized crystal structure of HfFePdPb.

Unit cell a=6.563 b=6.563 c=6.563 alpha=90.00 beta=90.00 gamma=90.00
Space group F-43m (No. 216)
Unique sites:
Hf  0.000  0.000  0.000
Fe  0.000  0.000  0.500
Pd  0.250  0.250  0.750
Pb  0.250  0.250  0.250

- Spin magnetization: 0.62 μB/atom
- Energy above the lowest structure with this stoichiometry: 79 kJ/mol of formula units
- Crystal system: cubic

---

No. 9
VASP calculation (GGA-PBE) on an optimized crystal structure of TmHfAl4Cu2.

Unit cell a=6.680 b=4.120 c=9.804 alpha=90.00 beta=90.00 gamma=90.00
Space group Amm2 (No. 38)
Unique sites:
Tm  0.000  0.000  0.000
Hf  0.500  0.000  0.149
Al  0.203  0.000  0.705
Al  0.308  0.000  0.440
Cu  0.000  0.000  0.288
Cu  0.500  0.000  0.862

- Spin magnetization: 0.00 μB/atom
- Crystal system: orthorhombic
- Final energy: -4.981 eV per atom

---

No. 10
VASP calculation (GGA-PBE) on an optimized crystal structure of TbMg.

Unit cell a=5.365 b=13.206 c=6.259 alpha=90.00 beta=90.00 gamma=90.00
Space group Pmmn (No. 59, origin choice 2)
Unique sites:
Tb  0.250  0.109  0.099
Tb  0.250  0.250  0.597
Tb  0.250  0.750  0.747
Mg  0.250  0.505  0.626
Mg  0.250  0.636  0.222

- Spin magnetization: 0.00 μB/atom
- Crystal system: orthorhombic
- Final energy: -3.101 eV per atom

---

No. 11
VASP calculation (GGA-PBE) on an optimized crystal structure of ScSiOs2.

Unit cell a=6.245 b=6.245 c=6.245 alpha=90.00 beta=90.00 gamma=90.00
Space group F-43m (No. 216)
Unique sites:
Sc  0.000  0.000  0.000
Si  0.250  0.250  0.750
Os  0.000  0.000  0.500
Os  0.250  0.250  0.250

- Spin magnetization: 0.01 μB/atom
- Crystal system: cubic
- Final energy: -8.457 eV per atom

---

No. 12
VASP calculation (GGA-PBE) on an optimized crystal structure of Cs2PuAg2Te2Se2.

Unit cell a=14.603 b=6.751 c=6.742 alpha=90.00 beta=91.70 gamma=90.00
Space group C2 (No. 5)
Unique sites:
Cs  0.250  0.000  0.234
Pu  0.000  0.244  0.500
Ag  0.000  0.235  0.000
Ag  0.000  0.750  0.500
Te  0.106  0.505  0.247
Se  0.099  0.007  0.744

- Spin magnetization: 0.44 μB/atom
- Crystal system: monoclinic
- Final energy: -4.634 eV per atom